[1]
DFT (PBE) results for a geometry-optimized CaThGe2O8 structure. Values from VASP.

Summary:
**Space group**: No. 82
**Formation energy (no corrections)**: -2.179 eV per atom
**M_tot**: 2.0 μB per formula unit
**Calculated volume**: 155.95 Å³ per cell

```
&SYSTEM
  ibrav = 0, nat = 12, ntyp = 4
/
ATOMIC_SPECIES
Ca 40.08 Ca.upf
O 16.00 O.upf
Ge 72.64 Ge.upf
Th 232.04 Th.upf
CELL_PARAMETERS angstrom
-4.1855 0.9749 2.9323
-2.6529 -3.6653 -2.5680
5.1741 -2.5987 3.6340
ATOMIC_POSITIONS crystal
Ca 0.0000 0.0000 0.0000
O 0.7269 0.8346 0.1661
Ge 0.2500 0.7500 0.5000
Th 0.7500 0.2500 0.5000
O 0.4392 0.3315 0.1661
O 0.3202 0.9244 0.3415
O 0.6685 0.2731 0.8339
O 0.0756 0.9788 0.6585
O 0.1654 0.5608 0.8339
O 0.0212 0.4171 0.3415
Ge 0.5000 0.5000 0.0000
O 0.5829 0.6798 0.6585
```



[2]
DFT (PBE) results for a geometry-optimized La3NiIr2 structure. Values from VASP.

Summary:
**E_form**: -609 meV/atom
**Space group**: No. 62
**M_tot**: 0.0 μB per formula unit
**Calculated volume**: 580.54 Å³ per cell

```
&SYSTEM
  ibrav = 0, nat = 24, ntyp = 3
/
ATOMIC_SPECIES
Ni 58.69 Ni.upf
La 138.91 La.upf
Ir 192.22 Ir.upf
CELL_PARAMETERS angstrom
-1.7465 -1.3849 -3.5280
8.8453 -7.5894 -1.3996
-6.0086 -8.1407 6.1701
ATOMIC_POSITIONS crystal
Ni 0.2500 0.1278 0.1275
La 0.7500 0.9394 0.1188
Ni 0.7500 0.6278 0.3725
La 0.2500 0.4394 0.3812
Ir 0.7500 0.9890 0.6805
Ir 0.2500 0.0110 0.3195
La 0.2500 0.3748 0.0546
La 0.2500 0.6886 0.2080
Ni 0.2500 0.3722 0.6275
Ir 0.7500 0.5110 0.1805
La 0.7500 0.8748 0.4454
La 0.7500 0.3114 0.7920
La 0.7500 0.1886 0.2920
La 0.7500 0.6252 0.9454
Ni 0.7500 0.8722 0.8725
La 0.2500 0.0606 0.8812
Ir 0.2500 0.6863 0.4859
La 0.7500 0.5606 0.6188
Ir 0.2500 0.8137 0.9859
Ir 0.7500 0.3137 0.5141
La 0.2500 0.8114 0.7080
La 0.2500 0.1252 0.5546
Ir 0.2500 0.4890 0.8195
Ir 0.7500 0.1863 0.0141
```



[3]
DFT (PBE) results for a geometry-optimized Ac2In2Ag3 structure. Values from VASP.

Summary:
**E_form**: -320 meV/atom
**Space group**: No. 63
**M_tot**: 0.0 μB per formula unit
**Polymorph energy (0 for the lowest one)**: 0 kJ/mol of formula units
**Calculated volume**: 387.02 Å³ per cell

```
&SYSTEM
  ibrav = 0, nat = 14, ntyp = 3
/
ATOMIC_SPECIES
In 114.82 In.upf
Ag 107.87 Ag.upf
Ac 227.00 Ac.upf
CELL_PARAMETERS angstrom
4.4669 0.0000 -1.0650
0.0000 7.9859 0.0000
0.2140 0.0000 10.7983
ATOMIC_POSITIONS crystal
In 0.3104 0.0570 0.6208
Ag 0.2261 0.7500 0.4522
Ag 0.5589 0.4294 0.1178
In 0.3104 0.4430 0.6208
Ac 0.1517 0.2500 0.3034
Ag 0.4411 0.5706 0.8822
In 0.6896 0.5570 0.3792
Ac 0.0567 0.7500 0.1135
Ag 0.4411 0.9294 0.8822
Ag 0.7739 0.2500 0.5478
Ag 0.5589 0.0706 0.1178
In 0.6896 0.9430 0.3792
Ac 0.8483 0.7500 0.6966
Ac 0.9433 0.2500 0.8865
```



[4]
DFT (PBE) results for a geometry-optimized YInCu3 structure. Values from VASP.

Summary:
**E_form**: 976 meV/atom
**Space group**: No. 221
**M_tot**: 0.0 μB per formula unit
**Polymorph energy (0 for the lowest one)**: 541 kJ/mol of formula units
**Calculated volume**: 139.24 Å³ per cell

```
&SYSTEM
  ibrav = 0, nat = 5, ntyp = 3
/
ATOMIC_SPECIES
Cu 63.55 Cu.upf
Y 88.91 Y.upf
In 114.82 In.upf
CELL_PARAMETERS angstrom
5.1830 0.0000 0.0000
0.0000 5.1830 0.0000
0.0000 0.0000 5.1830
ATOMIC_POSITIONS crystal
Cu 0.0000 0.5000 0.0000
Cu 0.0000 0.0000 0.5000
Cu 0.5000 0.0000 0.0000
Y 0.0000 0.0000 0.0000
In 0.5000 0.5000 0.5000
```



Repeat the first record exactly.
DFT (PBE) results for a geometry-optimized CaThGe2O8 structure. Values from VASP.

Summary:
**Space group**: No. 82
**Formation energy (no corrections)**: -2.179 eV per atom
**M_tot**: 2.0 μB per formula unit
**Calculated volume**: 155.95 Å³ per cell

```
&SYSTEM
  ibrav = 0, nat = 12, ntyp = 4
/
ATOMIC_SPECIES
Ca 40.08 Ca.upf
O 16.00 O.upf
Ge 72.64 Ge.upf
Th 232.04 Th.upf
CELL_PARAMETERS angstrom
-4.1855 0.9749 2.9323
-2.6529 -3.6653 -2.5680
5.1741 -2.5987 3.6340
ATOMIC_POSITIONS crystal
Ca 0.0000 0.0000 0.0000
O 0.7269 0.8346 0.1661
Ge 0.2500 0.7500 0.5000
Th 0.7500 0.2500 0.5000
O 0.4392 0.3315 0.1661
O 0.3202 0.9244 0.3415
O 0.6685 0.2731 0.8339
O 0.0756 0.9788 0.6585
O 0.1654 0.5608 0.8339
O 0.0212 0.4171 0.3415
Ge 0.5000 0.5000 0.0000
O 0.5829 0.6798 0.6585
```



Q: Number 3 is which compound?
A: Ac2In2Ag3